# Rb3Dy2HfS6 | Alexandria | PBE-GGA | optimized geometry
# **V**: 628.12 Å³/cell
# **Formation energy without anion corrections**: -1689.5 meV per atom
# **Fermi-level density of states**: 0.325 states/eV/atom
data_Rb3Dy2HfS6
_space_group_name_H-M_alt 'C 1 2/m 1'
_space_group_IT_number 12
_cell_length_a 6.865
_cell_length_b 11.890
_cell_length_c 8.030
_cell_angle_alpha 90.00
_cell_angle_beta 106.59
_cell_angle_gamma 90.00
loop_
_space_group_symop_operation_xyz
'x,y,z'
'-x,-y,-z'
'-x,y,-z'
'x,-y,z'
'x+1/2,y+1/2,z'
'-x+1/2,-y+1/2,-z'
'-x+1/2,y+1/2,-z'
'x+1/2,-y+1/2,z'
loop_
_atom_site_label
_atom_site_type_symbol
_atom_site_fract_x
_atom_site_fract_y
_atom_site_fract_z
Rb1 Rb 0.000 0.000 0.000
Rb2 Rb 0.000 0.330 0.000
Dy1 Dy 0.000 0.166 0.500
Hf1 Hf 0.000 0.500 0.500
S1 S 0.222 0.342 0.690
S2 S 0.248 0.000 0.692